(1)
Entry from OQMD via LeMat-Bulk: a relaxed structure of PaGaB (PBE).

Cell lengths 4.206, 4.206, 4.206 Å; angles 60.00, 60.00, 60.00 degrees
Fractional coordinates of all 3 atoms:
Pa 0.000 0.000 0.000
Ga 0.500 0.500 0.500
B 0.750 0.750 0.750

Results
Space-group type ... F-43m (216)
Calculated volume ... 17.5 Å³/atom
Excess energy over the best structure of this formula in the dataset ... 0.00 kcal/mol of atoms



(2)
Entry from OQMD via LeMat-Bulk: a relaxed structure of Tm2Lu2O5 (PBE).

Cell lengths 3.847, 3.847, 9.076 Å; angles 90.00, 90.00, 90.00 degrees
Fractional coordinates of all 9 atoms:
Tm 0.000 0.000 0.242
Tm 0.000 0.000 0.758
Lu 0.500 0.500 0.000
Lu 0.500 0.500 0.500
O 0.000 0.000 0.500
O 0.000 0.500 0.145
O 0.000 0.500 0.855
O 0.500 0.000 0.145
O 0.500 0.000 0.855

Results
Space-group type ... P4/mmm (123)
Calculated volume ... 14.9 Å³/atom
Excess energy over the best structure of this formula in the dataset ... 0.84 kcal/mol of atoms



(3)
Entry from OQMD via LeMat-Bulk: a relaxed structure of HoTaGa (PBE).

Cell lengths 4.801, 4.801, 4.801 Å; angles 60.00, 60.00, 60.00 degrees
Fractional coordinates of all 3 atoms:
Ho 0.000 0.000 0.000
Ta 0.250 0.250 0.250
Ga 0.750 0.750 0.750

Results
Space-group type ... F-43m (216)
Calculated volume ... 26.1 Å³/atom
Excess energy over the best structure of this formula in the dataset ... 19.36 kcal/mol of atoms



(4)
Entry from OQMD via LeMat-Bulk: a relaxed structure of LuSiHO4 (PBE).

Cell lengths 4.438, 5.289, 8.192 Å; angles 90.00, 119.36, 90.00 degrees
Fractional coordinates of all 14 atoms:
Lu 0.000 0.119 0.000
Lu 0.000 0.881 0.500
Si 0.777 0.371 0.250
Si 0.777 0.629 0.750
H 0.507 0.260 0.406
H 0.507 0.740 0.906
O 0.139 0.240 0.283
O 0.139 0.760 0.783
O 0.503 0.232 0.054
O 0.503 0.768 0.554
O 0.739 0.330 0.761
O 0.739 0.670 0.261
O 0.765 0.250 0.437
O 0.765 0.750 0.937

Results
Space-group type ... Pc (7)
Calculated volume ... 12.0 Å³/atom
Excess energy over the best structure of this formula in the dataset ... 3.56 kcal/mol of atoms



(5)
Entry from OQMD via LeMat-Bulk: a relaxed structure of Li2LuIn2Ag2Au (PBE).

Cell lengths 4.797, 4.797, 6.723 Å; angles 90.00, 90.00, 90.00 degrees
Fractional coordinates of all 8 atoms:
Li 0.000 0.500 0.204
Li 0.500 0.000 0.796
Lu 0.000 0.000 0.500
In 0.000 0.000 0.000
In 0.500 0.500 0.500
Ag 0.000 0.500 0.751
Ag 0.500 0.000 0.249
Au 0.500 0.500 0.000

Results
Space-group type ... P-4m2 (115)
Calculated volume ... 19.3 Å³/atom



(6)
Entry from OQMD via LeMat-Bulk: a relaxed structure of Li2LaAgPd (PBE).

Cell lengths 7.079, 7.079, 7.079 Å; angles 147.10, 147.10, 47.22 degrees
Fractional coordinates of all 5 atoms:
Li 0.000 0.500 0.500
Li 0.500 0.000 0.500
La 0.269 0.269 0.000
Ag 0.641 0.641 0.000
Pd 0.858 0.858 0.000

Results
Space-group type ... I4mm (107)
Calculated volume ... 20.9 Å³/atom



| no. | uncorrected energy (eV per atom) |
| --- | --- |
| 1 | -6.310 |
| 2 | -7.670 |
| 3 | -5.363 |
| 4 | -7.330 |
| 5 | -3.131 |
| 6 | -3.759 |